[1]
This record from Alexandria describes an optimized crystal structure of CaBi2F. The functional is PBE-GGA.

Values from the calculation:
Offset from the most stable computed form (meV/atom): 11
SG: I-42d
ΔE_f (raw) (eV/atom): -0.671

Lattice parameters (Å, degrees): 9.058 9.058 9.058 142.70 142.70 53.78
Element x y z (fractional)
Ca (0.000, 0.000, 0.000)
Ca (0.750, 0.250, 0.500)
Bi (0.281, 0.625, 0.156)
Bi (0.375, 0.531, 0.656)
Bi (0.469, 0.125, 0.844)
Bi (0.875, 0.719, 0.344)
F (0.250, 0.750, 0.500)
F (0.500, 0.500, 0.000)

***

[2]
This record from Alexandria describes an optimized crystal structure of AlTe3Mo. The functional is PBE-GGA.

Values from the calculation:
Offset from the most stable computed form (meV/atom): 0
SG: Pm-3m
ΔE_f (raw) (eV/atom): 0.503

Lattice parameters (Å, degrees): 5.348 5.348 5.348 90.00 90.00 90.00
Element x y z (fractional)
Al (0.000, 0.000, 0.000)
Te (0.000, 0.500, 0.500)
Te (0.500, 0.000, 0.500)
Te (0.500, 0.500, 0.000)
Mo (0.500, 0.500, 0.500)

***

[3]
This record from Alexandria describes an optimized crystal structure of La2TaNi. The functional is PBE-GGA.

Values from the calculation:
Offset from the most stable computed form (meV/atom): 64
SG: Amm2
Energy relative to the elements (eV per formula unit): 0.53

Lattice parameters (Å, degrees): 4.059 5.883 5.883 47.72 90.00 90.00
Element x y z (fractional)
La (0.000, 0.000, 0.000)
La (0.500, 0.306, 0.306)
Ta (0.500, 0.605, 0.605)
Ni (0.000, 0.724, 0.724)

***

[4]
This record from Alexandria describes an optimized crystal structure of AlNi2Sn2. The functional is PBE-GGA.

Values from the calculation:
SG: I4/mmm
Energy relative to the elements (eV per formula unit): 0.52

Lattice parameters (Å, degrees): 8.216 8.216 8.216 155.72 155.72 34.60
Element x y z (fractional)
Al (0.000, 0.000, 0.000)
Ni (0.250, 0.750, 0.500)
Ni (0.750, 0.250, 0.500)
Sn (0.377, 0.377, 0.000)
Sn (0.623, 0.623, 0.000)

***

[5]
This record from Alexandria describes an optimized crystal structure of Tb16Sm6Th7. The functional is PBE-GGA.

Values from the calculation:
SG: Fm-3m
Energy relative to the elements (eV per formula unit): 7.65

Lattice parameters (Å, degrees): 11.297 11.297 11.297 60.00 60.00 60.00
Element x y z (fractional)
Tb (0.039, 0.654, 0.654)
Tb (0.129, 0.129, 0.129)
Tb (0.129, 0.129, 0.612)
Tb (0.129, 0.612, 0.129)
Tb (0.346, 0.346, 0.346)
Tb (0.346, 0.346, 0.961)
Tb (0.346, 0.961, 0.346)
Tb (0.388, 0.871, 0.871)
Tb (0.612, 0.129, 0.129)
Tb (0.654, 0.039, 0.654)
Tb (0.654, 0.654, 0.039)
Tb (0.654, 0.654, 0.654)
Tb (0.871, 0.388, 0.871)
Tb (0.871, 0.871, 0.388)
Tb (0.871, 0.871, 0.871)
Tb (0.961, 0.346, 0.346)
Sm (0.257, 0.257, 0.743)
Sm (0.257, 0.743, 0.257)
Sm (0.257, 0.743, 0.743)
Sm (0.743, 0.257, 0.257)
Sm (0.743, 0.257, 0.743)
Sm (0.743, 0.743, 0.257)
Th (0.000, 0.000, 0.000)
Th (0.000, 0.000, 0.500)
Th (0.000, 0.500, 0.000)
Th (0.000, 0.500, 0.500)
Th (0.500, 0.000, 0.000)
Th (0.500, 0.000, 0.500)
Th (0.500, 0.500, 0.000)

***

[6]
This record from Alexandria describes an optimized crystal structure of Tb2TmAg. The functional is PBE-GGA.

Values from the calculation:
Offset from the most stable computed form (meV/atom): 120
SG: R3m
Energy relative to the elements (eV per formula unit): -0.05

Lattice parameters (Å, degrees): 10.561 10.561 10.561 19.45 19.45 19.45
Element x y z (fractional)
Tb (0.000, 0.000, 0.000)
Tb (0.181, 0.181, 0.181)
Tm (0.757, 0.757, 0.757)
Ag (0.590, 0.590, 0.590)

***

[7]
This record from Alexandria describes an optimized crystal structure of Tb6Sm2In3. The functional is PBE-GGA.

Values from the calculation:
SG: I4/mmm
Energy relative to the elements (eV per formula unit): -0.14

Lattice parameters (Å, degrees): 17.150 17.150 17.150 164.76 164.76 21.62
Element x y z (fractional)
Tb (0.128, 0.628, 0.500)
Tb (0.213, 0.213, 0.000)
Tb (0.372, 0.872, 0.500)
Tb (0.628, 0.128, 0.500)
Tb (0.787, 0.787, 0.000)
Tb (0.872, 0.372, 0.500)
Sm (0.044, 0.044, 0.000)
Sm (0.956, 0.956, 0.000)
In (0.306, 0.306, 0.000)
In (0.500, 0.500, 0.000)
In (0.694, 0.694, 0.000)

***

[8]
This record from Alexandria describes an optimized crystal structure of Tb6YHo3Th2. The functional is PBE-GGA.

Values from the calculation:
SG: C2/m
Energy relative to the elements (eV per formula unit): 0.33

Lattice parameters (Å, degrees): 6.162 6.162 11.797 95.00 95.00 119.95
Element x y z (fractional)
Tb (0.079, 0.417, 0.751)
Tb (0.246, 0.246, 0.249)
Tb (0.417, 0.079, 0.751)
Tb (0.583, 0.921, 0.249)
Tb (0.754, 0.754, 0.751)
Tb (0.921, 0.583, 0.249)
Y (0.500, 0.500, 0.000)
Ho (0.000, 0.000, 0.500)
Ho (0.334, 0.666, 0.500)
Ho (0.666, 0.334, 0.500)
Th (0.167, 0.833, 0.000)
Th (0.833, 0.167, 0.000)

***

[9]
This record from Alexandria describes an optimized crystal structure of Zr2MoRh. The functional is PBE-GGA.

Values from the calculation:
SG: R-3m
Energy relative to the elements (eV per formula unit): -0.39

Lattice parameters (Å, degrees): 8.682 8.682 8.682 21.27 21.27 21.27
Element x y z (fractional)
Zr (0.250, 0.250, 0.250)
Zr (0.750, 0.750, 0.750)
Mo (0.000, 0.000, 0.000)
Rh (0.500, 0.500, 0.500)

***

[10]
This record from Alexandria describes an optimized crystal structure of V2CrRe2. The functional is PBE-GGA.

Values from the calculation:
Offset from the most stable computed form (meV/atom): 0
SG: C2/c
Energy relative to the elements (eV per formula unit): 0.66

Lattice parameters (Å, degrees): 7.032 7.032 4.500 102.38 102.38 131.67
Element x y z (fractional)
V (0.153, 0.847, 0.750)
V (0.253, 0.747, 0.250)
V (0.747, 0.253, 0.750)
V (0.847, 0.153, 0.250)
Cr (0.353, 0.647, 0.750)
Cr (0.647, 0.353, 0.250)
Re (0.194, 0.301, 0.989)
Re (0.301, 0.194, 0.489)
Re (0.699, 0.806, 0.511)
Re (0.806, 0.699, 0.011)

***

[11]
This record from Alexandria describes an optimized crystal structure of HfTaGa2. The functional is PBE-GGA.

Values from the calculation:
Offset from the most stable computed form (meV/atom): 317
SG: I-42d
Energy relative to the elements (eV per formula unit): 0.12

Lattice parameters (Å, degrees): 5.878 5.878 5.878 103.78 103.78 121.57
Element x y z (fractional)
Hf (0.000, 0.000, 0.000)
Hf (0.750, 0.250, 0.500)
Ta (0.250, 0.750, 0.500)
Ta (0.500, 0.500, 0.000)
Ga (0.133, 0.125, 0.508)
Ga (0.375, 0.867, 0.992)
Ga (0.617, 0.625, 0.492)
Ga (0.875, 0.383, 0.008)

***

[12]
This record from Alexandria describes an optimized crystal structure of Tm2Zn2GeRh5. The functional is PBE-GGA.

Values from the calculation:
SG: P4/mbm
Energy relative to the elements (eV per formula unit): -6.52

Lattice parameters (Å, degrees): 9.684 9.684 3.488 90.00 90.00 90.00
Element x y z (fractional)
Tm (0.171, 0.329, 0.000)
Tm (0.329, 0.829, 0.000)
Tm (0.671, 0.171, 0.000)
Tm (0.829, 0.671, 0.000)
Zn (0.128, 0.628, 0.000)
Zn (0.372, 0.128, 0.000)
Zn (0.628, 0.872, 0.000)
Zn (0.872, 0.372, 0.000)
Ge (0.000, 0.000, 0.000)
Ge (0.500, 0.500, 0.000)
Rh (0.000, 0.500, 0.500)
Rh (0.063, 0.803, 0.500)
Rh (0.197, 0.063, 0.500)
Rh (0.303, 0.563, 0.500)
Rh (0.437, 0.303, 0.500)
Rh (0.500, 0.000, 0.500)
Rh (0.563, 0.697, 0.500)
Rh (0.697, 0.437, 0.500)
Rh (0.803, 0.937, 0.500)
Rh (0.937, 0.197, 0.500)

***

[13]
This record from Alexandria describes an optimized crystal structure of CaZnHg2. The functional is PBE-GGA.

Values from the calculation:
SG: Imm2
Energy relative to the elements (eV per formula unit): -1.05

Lattice parameters (Å, degrees): 5.423 5.423 5.423 130.17 127.30 75.46
Element x y z (fractional)
Ca (0.000, 0.000, 0.000)
Zn (0.744, 0.244, 0.500)
Hg (0.257, 0.757, 0.500)
Hg (0.510, 0.510, 0.000)

***

[14]
This record from Alexandria describes an optimized crystal structure of Ta2CoRh. The functional is PBE-GGA.

Values from the calculation:
SG: P4/mmm
Energy relative to the elements (eV per formula unit): -1.10

Lattice parameters (Å, degrees): 3.998 3.998 3.781 90.00 90.00 90.00
Element x y z (fractional)
Ta (0.000, 0.500, 0.000)
Ta (0.500, 0.000, 0.000)
Co (0.000, 0.000, 0.500)
Rh (0.500, 0.500, 0.500)

***

[15]
This record from Alexandria describes an optimized crystal structure of Hf2Ru2W. The functional is PBE-GGA.

Values from the calculation:
SG: P4/mbm
Energy relative to the elements (eV per formula unit): -0.27

Lattice parameters (Å, degrees): 7.363 7.363 3.232 90.00 90.00 90.00
Element x y z (fractional)
Hf (0.166, 0.334, 0.000)
Hf (0.334, 0.834, 0.000)
Hf (0.666, 0.166, 0.000)
Hf (0.834, 0.666, 0.000)
Ru (0.135, 0.635, 0.500)
Ru (0.365, 0.135, 0.500)
Ru (0.635, 0.865, 0.500)
Ru (0.865, 0.365, 0.500)
W (0.000, 0.000, 0.500)
W (0.500, 0.500, 0.500)

***

[16]
This record from Alexandria describes an optimized crystal structure of NaCe2RuO8. The functional is PBE-GGA.

Values from the calculation:
SG: P2/m
ΔE_f (raw) (eV/atom): -2.045

Lattice parameters (Å, degrees): 5.001 7.060 5.014 90.00 92.09 90.00
Element x y z (fractional)
Na (0.000, 0.000, 0.000)
Ce (0.500, 0.246, 0.500)
Ce (0.500, 0.754, 0.500)
Ru (0.000, 0.500, 0.000)
O (0.183, 0.311, 0.819)
O (0.183, 0.689, 0.819)
O (0.288, 0.500, 0.290)
O (0.317, 0.000, 0.318)
O (0.683, 0.000, 0.682)
O (0.712, 0.500, 0.710)
O (0.817, 0.311, 0.181)
O (0.817, 0.689, 0.181)

***

[17]
This record from Alexandria describes an optimized crystal structure of NaPr2Lu. The functional is PBE-GGA.

Values from the calculation:
Offset from the most stable computed form (meV/atom): 25
SG: R-3m
Energy relative to the elements (eV per formula unit): 0.50

Lattice parameters (Å, degrees): 13.045 13.045 13.045 15.71 15.71 15.71
Element x y z (fractional)
Na (0.000, 0.000, 0.000)
Pr (0.093, 0.093, 0.093)
Pr (0.907, 0.907, 0.907)
Lu (0.500, 0.500, 0.500)

***

[18]
This record from Alexandria describes an optimized crystal structure of SrPrBi2. The functional is PBE-GGA.

Values from the calculation:
Offset from the most stable computed form (meV/atom): 94
SG: Fm-3m
Energy relative to the elements (eV per formula unit): -2.84

Lattice parameters (Å, degrees): 5.772 5.772 5.772 60.00 60.00 60.00
Element x y z (fractional)
Sr (0.000, 0.000, 0.000)
Pr (0.500, 0.500, 0.500)
Bi (0.250, 0.250, 0.250)
Bi (0.750, 0.750, 0.750)

***

[19]
This record from Alexandria describes an optimized crystal structure of Ac2Nd3SmTe6. The functional is PBE-GGA.

Values from the calculation:
SG: C2/m
ΔE_f (raw) (eV/atom): -1.430

Lattice parameters (Å, degrees): 10.202 10.202 9.194 102.88 102.88 25.76
Element x y z (fractional)
Ac (0.165, 0.165, 0.332)
Ac (0.835, 0.835, 0.668)
Nd (0.170, 0.170, 0.837)
Nd (0.500, 0.500, 0.500)
Nd (0.830, 0.830, 0.163)
Sm (0.500, 0.500, 0.000)
Te (0.005, 0.005, 0.756)
Te (0.336, 0.336, 0.408)
Te (0.336, 0.336, 0.928)
Te (0.664, 0.664, 0.072)
Te (0.664, 0.664, 0.592)
Te (0.995, 0.995, 0.244)

***

[20]
This record from Alexandria describes an optimized crystal structure of Ni2AsIr. The functional is PBE-GGA.

Values from the calculation:
SG: Imm2
Energy relative to the elements (eV per formula unit): -0.05

Lattice parameters (Å, degrees): 4.494 4.494 4.494 132.34 128.41 72.85
Element x y z (fractional)
Ni (0.000, 0.000, 0.000)
Ni (0.733, 0.233, 0.500)
As (0.224, 0.724, 0.500)
Ir (0.468, 0.468, 0.000)

***

| no. | DOS(E_F) (states/eV/f.u.) | size of the total moment (μB/cell) |
| --- | --- | --- |
| 1 | 1.253 | 0.0 |
| 2 | 5.051 | 0.6 |
| 3 | 4.559 | 0.0 |
| 4 | 3.312 | 0.0 |
| 5 | 49.880 | 0.0 |
| 6 | 5.451 | 0.0 |
| 7 | 13.605 | 0.0 |
| 8 | 16.769 | 0.0 |
| 9 | 3.648 | 0.0 |
| 10 | 5.425 | 0.0 |
| 11 | 1.893 | 0.0 |
| 12 | 5.677 | 0.0 |
| 13 | 1.307 | 0.0 |
| 14 | 3.455 | 0.0 |
| 15 | 6.594 | 0.0 |
| 16 | 4.908 | 1.0 |
| 17 | 4.884 | 0.0 |
| 18 | 2.128 | 0.0 |
| 19 | 6.728 | 0.0 |
| 20 | 4.197 | 0.0 |